w.
! P2HPd, optimized geometry, DFT PBE; values from VASP
&SYSTEM
  ibrav = 0, nat = 8, ntyp = 3
/
ATOMIC_SPECIES
P 30.97 P.upf
Pd 106.42 Pd.upf
H 1.01 H.upf
CELL_PARAMETERS angstrom
4.151 0.000 0.000
0.000 4.151 0.000
2.075 2.075 6.238
ATOMIC_POSITIONS angstrom
P 2.652 1.038 1.559
P 1.499 3.113 1.559
P 3.113 3.574 4.678
P 5.188 4.727 4.678
Pd 0.000 0.000 0.000
Pd 4.151 2.075 3.119
H 2.075 2.075 0.000
H 2.075 4.151 3.119
! - DOS at the Fermi energy (states/eV/atom) = 0.6144


x.
! P2HPd, optimized geometry, DFT PBE; values from VASP
&SYSTEM
  ibrav = 0, nat = 4, ntyp = 3
/
ATOMIC_SPECIES
P 30.97 P.upf
Pd 106.42 Pd.upf
H 1.01 H.upf
CELL_PARAMETERS angstrom
0.000 2.917 2.917
2.917 0.000 2.917
2.917 2.917 0.000
ATOMIC_POSITIONS angstrom
P 1.458 1.458 1.458
P 4.375 4.375 4.375
Pd 2.917 2.917 2.917
H 0.000 0.000 0.000
! - DOS at the Fermi energy (states/eV/atom) = 0.3530


w takes first place; second place is 57 meV per atom up.